# VPtOF2

An optimized crystal structure of VPtOF2 (GGA+U, the Alexandria database).

Properties
M_tot: 2.22 μB per formula unit
Polymorph energy (0 for the lowest one): 0.00 eV per formula unit
Calculated density: 7.872 Mg/m³

Unit cell a=4.067 b=4.067 c=3.826 alpha=90.00 beta=90.00 gamma=90.00
Space group P4/mmm (No. 123)
Inequivalent atoms, fractional coordinates:
V: 0.000 0.000 0.000 [1 per cell]
Pt: 0.500 0.500 0.500 [1 per cell]
O: 0.000 0.000 0.500 [1 per cell]
F: 0.000 0.500 0.000 [2 per cell]